Entry 1:
# PaHRh2

A relaxed structure of PaHRh2 (GGA-PBE, Alexandria). Values from VASP.

Calculated values
Energy relative to the lowest polymorph listed for this composition ... 0.029 eV/atom

Quantum ESPRESSO input file:
```
&SYSTEM
  ibrav = 0, nat = 4, ntyp = 3
/
ATOMIC_SPECIES
H 1.01 H.upf
Rh 102.91 Rh.upf
Pa 231.04 Pa.upf
CELL_PARAMETERS angstrom
3.157 0.000 0.000
1.579 2.734 0.000
1.579 0.911 6.959
ATOMIC_POSITIONS crystal
H 0.500 0.500 0.500
Rh 0.887 0.887 0.338
Rh 0.113 0.113 0.662
Pa 0.000 0.000 0.000
```

***

Entry 2:
# KNpO3F

A relaxed structure of KNpO3F (GGA-PBE, Alexandria). Values from VASP.

Calculated values
E_form (uncorrected) ... -2.57 eV per atom

Quantum ESPRESSO input file:
```
&SYSTEM
  ibrav = 0, nat = 12, ntyp = 4
/
ATOMIC_SPECIES
O 16.00 O.upf
K 39.10 K.upf
F 19.00 F.upf
Np 237.00 Np.upf
CELL_PARAMETERS angstrom
5.471 1.742 0.000
2.819 5.598 0.000
1.410 2.799 10.626
ATOMIC_POSITIONS crystal
O 0.250 0.858 0.284
O 0.750 0.142 0.716
O 0.565 0.887 0.904
O 0.065 0.792 0.096
O 0.435 0.113 0.096
O 0.935 0.208 0.904
K 0.250 0.356 0.287
K 0.750 0.644 0.713
F 0.750 0.433 0.135
F 0.250 0.567 0.865
Np 0.250 0.948 0.103
Np 0.750 0.052 0.897
```

***

Entry 3:
# Ho2TeP

A relaxed structure of Ho2TeP (GGA-PBE, Alexandria). Values from VASP.

Calculated values
Energy relative to the lowest polymorph listed for this composition ... 0.029 eV/atom
E_form (uncorrected) ... -1.51 eV per atom

Quantum ESPRESSO input file:
```
&SYSTEM
  ibrav = 0, nat = 4, ntyp = 3
/
ATOMIC_SPECIES
Ho 164.93 Ho.upf
Te 127.60 Te.upf
P 30.97 P.upf
CELL_PARAMETERS angstrom
-0.552 -0.465 -3.988
-3.286 -1.930 -1.379
-4.849 5.447 -2.023
ATOMIC_POSITIONS crystal
Ho 0.263 0.263 0.210
Ho 0.069 0.069 0.792
Te 0.499 0.499 0.503
P 0.668 0.668 0.995
```

***

Entry 4:
# Na2AgPI

A relaxed structure of Na2AgPI (GGA-PBE, Alexandria). Values from VASP.

Calculated values
E_form (uncorrected) ... 0.18 eV per atom

Quantum ESPRESSO input file:
```
&SYSTEM
  ibrav = 0, nat = 5, ntyp = 4
/
ATOMIC_SPECIES
I 126.90 I.upf
Na 22.99 Na.upf
P 30.97 P.upf
Ag 107.87 Ag.upf
CELL_PARAMETERS angstrom
-4.825 -1.694 1.592
-0.989 -2.078 -5.210
2.131 -4.690 1.466
ATOMIC_POSITIONS crystal
I 0.000 0.500 0.000
Na 0.000 0.000 0.500
Na 0.500 0.000 0.000
P 0.000 0.000 0.000
Ag 0.500 0.500 0.500
```

***

Entry 5:
# CrFe3

A relaxed structure of CrFe3 (GGA-PBE, Alexandria). Values from VASP.

Calculated values
Formation energy from the elements ... 83 meV/atom

Quantum ESPRESSO input file:
```
&SYSTEM
  ibrav = 0, nat = 4, ntyp = 2
/
ATOMIC_SPECIES
Cr 52.00 Cr.upf
Fe 55.84 Fe.upf
CELL_PARAMETERS angstrom
2.477 0.000 0.000
0.000 3.984 0.000
0.000 0.000 4.312
ATOMIC_POSITIONS crystal
Cr 0.000 0.000 0.002
Fe 0.500 0.500 0.830
Fe 0.500 0.000 0.497
Fe 0.000 0.500 0.338
```

***

Entry 6:
# BaU2Se4

A relaxed structure of BaU2Se4 (GGA-PBE, Alexandria). Values from VASP.

Calculated values
E_form (uncorrected) ... -1.38 eV per atom

Quantum ESPRESSO input file:
```
&SYSTEM
  ibrav = 0, nat = 14, ntyp = 3
/
ATOMIC_SPECIES
Se 78.96 Se.upf
U 238.03 U.upf
Ba 137.33 Ba.upf
CELL_PARAMETERS angstrom
-0.040 4.205 -0.551
-2.074 -2.968 -6.172
-13.591 0.440 4.356
ATOMIC_POSITIONS crystal
Se 0.500 0.000 0.000
Se 0.234 0.469 0.615
Se 0.234 0.469 0.885
Se 0.500 0.000 0.500
Se 0.070 0.139 0.250
Se 0.766 0.531 0.385
Se 0.930 0.861 0.750
Se 0.766 0.531 0.115
U 0.133 0.265 0.439
U 0.133 0.265 0.061
U 0.867 0.735 0.561
U 0.867 0.735 0.939
Ba 0.391 0.782 0.250
Ba 0.609 0.218 0.750
```

***

| no. | calculated total energy (eV per cell) |
| --- | --- |
| 1 | -27.91 |
| 2 | -92.39 |
| 3 | -23.75 |
| 4 | -11.56 |
| 5 | -34.68 |
| 6 | -96.14 |